# 1
Rb3PrTm2S6 (PBE-GGA, relaxed); volume = 28.071 A^3/atom; formation energy without anion corrections = -1.8333 eV per atom
1.0
-4.5007 -2.9103 -4.6702
6.9634 0.1898 -1.4182
0.0595 -5.9333 5.4465
S Rb Tm Pr
6 3 2 1
direct
0.9357 0.5890 0.8075
0.7173 0.7173 0.1920
0.4110 0.0643 0.1925
0.5890 0.9357 0.8075
0.2827 0.2827 0.8080
0.0643 0.4110 0.1925
0.8352 0.1648 0.5000
0.5000 0.5000 0.5000
0.1648 0.8352 0.5000
0.3332 0.6668 0.0000
0.6668 0.3332 0.0000
0.0000 0.0000 0.0000

=====

# 2
NdY5Sb4 (PBE-GGA, relaxed); volume = 33.439 A^3/atom; formation energy without anion corrections = -0.7692 eV per atom
1.0
-3.2562 -2.8820 -0.1917
3.4112 -4.2869 6.5051
-4.1986 7.7715 3.8963
Sb Y Nd
4 5 1
direct
0.9913 0.7357 0.9826
0.3272 0.9062 0.6544
0.0087 0.2643 0.0174
0.6728 0.0938 0.3456
0.8387 0.1701 0.6775
0.1771 0.3505 0.3541
0.5000 0.5000 0.0000
0.8229 0.6495 0.6459
0.1613 0.8299 0.3225
0.5000 0.0000 0.0000

=====

# 3
LaSnSeN2 (PBE-GGA, relaxed); volume = 19.160 A^3/atom; formation energy without anion corrections = 0.0456 eV per atom
1.0
-2.7878 -0.8379 3.0860
2.5680 -3.0262 1.4982
2.3908 3.5793 3.1316
N Se La Sn
2 1 1 1
direct
0.0000 0.5000 0.0000
0.5000 0.0000 0.0000
0.0000 0.0000 0.5000
0.5000 0.5000 0.5000
0.0000 0.0000 0.0000

=====

# 4
GdCdBi2 (PBE-GGA, relaxed); volume = 28.231 A^3/atom; energy relative to the elements = -0.4298 eV per atom
1.0
-1.8169 3.9146 0.6404
-4.6254 -2.0907 -0.3432
-0.0010 -0.8219 5.0207
Bi Cd Gd
2 1 1
direct
0.0000 0.5000 0.0000
0.0000 0.0000 0.5000
0.5000 0.0000 0.0000
0.5000 0.5000 0.5000

=====

# 5
YTlCd17 (PBE-GGA, relaxed); volume = 23.754 A^3/atom; energy relative to the elements = -0.0413 eV per atom
1.0
-3.2832 0.2030 7.0032
-6.4540 -3.8927 -1.7486
2.2853 -6.9785 2.4379
Cd Tl Y
17 1 1
direct
0.3019 0.0019 0.6975
0.0019 0.6975 0.3019
0.3459 0.3459 0.8768
0.1051 0.1051 0.1051
0.3019 0.6975 0.0019
0.5201 0.9838 0.9838
0.6226 0.2027 0.6226
0.6226 0.6226 0.2027
0.9077 0.9077 0.9077
0.8768 0.3459 0.3459
0.2027 0.6226 0.6226
0.9838 0.5201 0.9838
0.6975 0.3019 0.0019
0.3459 0.8768 0.3459
0.6975 0.0019 0.3019
0.0019 0.3019 0.6975
0.9838 0.9838 0.5201
0.6517 0.6517 0.6517
0.3288 0.3288 0.3288

=====

# 6
Mn4ReAg (PBE-GGA, relaxed); volume = 12.598 A^3/atom; energy relative to the elements = 0.2589 eV per atom
1.0
0.0000 3.3559 3.3559
3.3559 0.0000 3.3559
3.3559 3.3559 0.0000
Ag Mn Re
1 4 1
direct
0.0000 0.0000 0.0000
0.3740 0.8779 0.3740
0.3740 0.3740 0.3740
0.8779 0.3740 0.3740
0.3740 0.3740 0.8779
0.7500 0.7500 0.7500

=====

# 7
Pm4ThSn3 (PBE-GGA, relaxed); volume = 30.220 A^3/atom; energy relative to the elements = -0.4157 eV per atom
1.0
5.2954 0.0000 0.0000
0.0000 6.3327 -0.4322
-2.6477 -3.8498 7.4720
Pm Th Sn
4 1 3
direct
0.2647 0.3324 0.5293
0.8795 0.3085 0.7591
0.7353 0.6676 0.4707
0.1205 0.6915 0.2409
0.0000 0.0000 0.0000
0.6444 0.0689 0.2888
0.5000 0.5000 0.0000
0.3556 0.9311 0.7112

=====

# 8
Er4Tl5Pd2 (PBE-GGA, relaxed); volume = 25.146 A^3/atom; energy relative to the elements = -0.4943 eV per atom
1.0
-1.7434 -2.1814 2.2970
6.7064 -4.0121 1.2799
1.5943 6.2927 7.1860
Er Pd Tl
4 2 5
direct
0.5000 0.1945 0.8479
0.5000 0.7867 0.5726
0.5000 0.8055 0.1521
0.5000 0.2133 0.4274
0.0000 0.9208 0.3657
0.0000 0.0792 0.6343
0.0000 0.1486 0.1358
0.0000 0.8514 0.8642
0.0000 0.5411 0.3351
0.0000 0.4589 0.6649
0.0000 0.5000 0.0000

=====

# 9
ScSe3 (PBE-GGA, relaxed); volume = 20.982 A^3/atom; formation energy without anion corrections = -0.6399 eV per atom
1.0
-3.0282 1.8287 0.0858
-1.7332 -2.9163 1.0063
1.1190 1.5516 6.4240
Se Sc
3 1
direct
0.5000 0.5000 0.8030
0.5000 0.5000 0.1970
0.0000 0.0000 0.5000
0.0000 0.0000 0.0000

=====

# 10
Li2Tm3Mg7 (PBE-GGA, relaxed); volume = 24.128 A^3/atom; energy relative to the elements = 0.0051 eV per atom
1.0
-3.3456 4.5725 -1.9738
-4.8352 -1.0644 -3.3889
-7.9696 0.6347 5.8604
Tm Mg Li
3 7 2
direct
0.8593 0.8593 0.4220
0.1407 0.1407 0.5780
0.0000 0.0000 0.0000
0.5000 0.5000 0.5000
0.5832 0.5832 0.7576
0.0759 0.5832 0.7576
0.5832 0.0759 0.7576
0.4168 0.4168 0.2424
0.4168 0.9241 0.2424
0.9241 0.4168 0.2424
0.6662 0.6662 0.0015
0.3338 0.3338 0.9985

=====

# 11
Ca2Mg3Zn (PBE-GGA, relaxed); volume = 25.920 A^3/atom; energy relative to the elements = -0.1466 eV per atom
1.0
6.1682 0.0000 0.0000
-3.0841 5.3413 0.0000
0.0000 0.0000 9.4408
Ca Mg Zn
4 6 2
direct
0.6667 0.3334 0.4409
0.6667 0.3334 0.0591
0.3333 0.6666 0.5591
0.3333 0.6666 0.9409
0.8354 0.1646 0.7500
0.6708 0.8354 0.2500
0.1646 0.3292 0.2500
0.1646 0.8354 0.2500
0.8354 0.6708 0.7500
0.3292 0.1646 0.7500
0.0000 0.0000 0.0000
0.0000 0.0000 0.5000

=====

# 12
AgSb4Pd (PBE-GGA, relaxed); volume = 24.910 A^3/atom; formation energy without anion corrections = -0.1046 eV per atom
1.0
6.6795 0.0000 -0.0290
0.0000 6.6804 0.0000
0.0479 0.0000 6.6986
Pd Ag Sb
2 2 8
direct
0.0000 0.5000 0.5000
0.5000 0.0000 0.5000
0.0000 0.0000 0.0000
0.5000 0.5000 0.0000
0.8695 0.1304 0.3845
0.6305 0.6304 0.6155
0.3808 0.8792 0.1351
0.1305 0.8696 0.6155
0.8808 0.6208 0.1351
0.1192 0.3792 0.8649
0.6192 0.1208 0.8649
0.3695 0.3696 0.3845

=====

Which value of volume does entry 5 give? 23.754 A^3/atom

=====

Which value of volume does entry 7 give? 30.220 A^3/atom

=====

The lowest volume belongs to which entry? Mn4ReAg